## Li5SbS4 (PBE)

Data for crystalline Li5SbS4 at its relaxed geometry.

Output
E_tot in eV for the cell shown: -80.81
Formation energy from raw total energies in eV/atom: -1.02
Mass density in g/cm3: 2.5
Distance to the lowest polymorph of the same formula in eV/f.u.: 0.000

The structure in POSCAR format:
```
Li5SbS4
1.0
3.7932 -6.2437 0.0000
3.7932 6.2437 0.0000
0.0000 0.0000 7.8869
Li Sb S
10 2 8
direct
0.1185 0.2481 0.5893
0.1323 0.8677 0.5000
0.1568 0.4195 0.2973
0.2481 0.1185 0.0893
0.4195 0.1568 0.7973
0.5805 0.8432 0.2973
0.7519 0.8815 0.5893
0.8432 0.5805 0.7973
0.8677 0.1323 0.0000
0.8815 0.7519 0.0893
0.3363 0.6637 0.8737
0.6637 0.3363 0.3737
0.0177 0.5010 0.0436
0.0234 0.9766 0.8071
0.4797 0.5203 0.4919
0.4990 0.9823 0.0436
0.5010 0.0177 0.5436
0.5203 0.4797 0.9919
0.9766 0.0234 0.3071
0.9823 0.4990 0.5436
```